Record 1
Computed, not measured: MnBOs3 after structural relaxation at the PBE level of DFT.

extended XYZ file:
```
5
Lattice="4.389 0.000 0.000 0.000 4.389 0.000 0.000 0.000 4.389" Properties=species:S:1:pos:R:3 pbc="T T T"
Mn 0.000 0.000 0.000
B 2.195 2.195 2.195
Os 0.000 0.000 2.195
Os 0.000 2.195 0.000
Os 2.195 0.000 0.000
```

Properties
Energy of formation, eV per atom: 2.567
Final energy, eV per atom: -7.340
M_tot, μB per atom: 0.1589



Record 2
Computed, not measured: MnB2Os2 after structural relaxation at the PBE level of DFT.

extended XYZ file:
```
5
Lattice="-1.894 1.894 4.081 1.894 -1.894 4.081 1.894 1.894 -4.081" Properties=species:S:1:pos:R:3 pbc="T T T"
Mn 0.000 0.000 0.000
B 0.000 0.000 3.197
B 0.000 0.000 4.964
Os 1.894 0.000 2.040
Os 0.000 1.894 2.040
```

Properties
Energy of formation, eV per atom: 0.162
Final energy, eV per atom: -8.834
M_tot, μB per atom: 0.6438



Record 3
Computed, not measured: MnB3Os after structural relaxation at the PBE level of DFT.

extended XYZ file:
```
5
Lattice="3.996 0.000 0.000 0.000 3.996 0.000 0.000 0.000 3.996" Properties=species:S:1:pos:R:3 pbc="T T T"
Mn 0.000 0.000 0.000
B 0.000 1.998 1.998
B 1.998 0.000 1.998
B 1.998 1.998 0.000
Os 1.998 1.998 1.998
```

Properties
Energy of formation, eV per atom: 1.438
Final energy, eV per atom: -6.648
M_tot, μB per atom: 0.0236